(a)
The following is a PBE calculation of a relaxed BaAlSN2 crystal, from the Alexandria database.

Structure (CIF):
```
data_BaAlSN2
_cell_length_a 4.2094
_cell_length_b 4.2094
_cell_length_c 4.8185
_cell_angle_alpha 90.00
_cell_angle_beta 90.00
_cell_angle_gamma 90.00
_space_group_name_H-M_alt 'P 1'
_space_group_IT_number 1
loop_
_space_group_symop_operation_xyz
'x,y,z'
loop_
_atom_site_label
_atom_site_type_symbol
_atom_site_fract_x
_atom_site_fract_y
_atom_site_fract_z
S1 S 0.0000 0.0000 0.5000
N1 N 0.0000 0.5000 0.0000
N2 N 0.5000 0.0000 0.0000
Ba1 Ba 0.5000 0.5000 0.5000
Al1 Al 0.0000 0.0000 0.0000
```

Summary:
mass density: 4.4 g cm⁻³
total magnetization: 3.00 μB/cell



(b)
The following is a PBE calculation of a relaxed BaAlSN2 crystal, from the Alexandria database.

Structure (CIF):
```
data_BaAlSN2
_cell_length_a 4.3359
_cell_length_b 4.3359
_cell_length_c 6.3930
_cell_angle_alpha 90.00
_cell_angle_beta 90.00
_cell_angle_gamma 90.00
_space_group_name_H-M_alt 'P 1'
_space_group_IT_number 1
loop_
_space_group_symop_operation_xyz
'x,y,z'
loop_
_atom_site_label
_atom_site_type_symbol
_atom_site_fract_x
_atom_site_fract_y
_atom_site_fract_z
S1 S 0.0000 0.0000 0.5000
N1 N 0.0000 0.5000 0.0000
N2 N 0.5000 0.0000 0.0000
Ba1 Ba 0.0000 0.0000 0.0000
Al1 Al 0.5000 0.5000 0.5000
```

Summary:
mass density: 3.1 g cm⁻³
total magnetization: 0.50 μB/cell



In terms of stability, (a) leads; the second structure lies 171.8 kJ/mol of atoms higher.



(a)
The following is a PBE calculation of a relaxed BaNaAl crystal, from the Alexandria database.

Structure (CIF):
```
data_BaNaAl
_cell_length_a 4.5479
_cell_length_b 4.5482
_cell_length_c 14.2794
_cell_angle_alpha 90.00
_cell_angle_beta 90.02
_cell_angle_gamma 60.00
_space_group_name_H-M_alt 'P 1'
_space_group_IT_number 1
loop_
_space_group_symop_operation_xyz
'x,y,z'
loop_
_atom_site_label
_atom_site_type_symbol
_atom_site_fract_x
_atom_site_fract_y
_atom_site_fract_z
Ba1 Ba 0.2958 0.6449 0.4617
Ba2 Ba 0.2952 0.6453 0.1198
Na1 Na 0.6291 0.9787 0.7009
Na2 Na 0.9613 0.3129 0.8806
Al1 Al 0.6289 0.9783 0.2920
Al2 Al 0.9622 0.3116 0.2896
```

Summary:
mass density: 2.4 g cm⁻³
total magnetization: 0.00 μB/cell



(b)
The following is a PBE calculation of a relaxed BaNaAl crystal, from the Alexandria database.

Structure (CIF):
```
data_BaNaAl
_cell_length_a 4.6959
_cell_length_b 8.1929
_cell_length_c 12.1509
_cell_angle_alpha 90.00
_cell_angle_beta 90.00
_cell_angle_gamma 90.00
_space_group_name_H-M_alt 'P 1'
_space_group_IT_number 1
loop_
_space_group_symop_operation_xyz
'x,y,z'
loop_
_atom_site_label
_atom_site_type_symbol
_atom_site_fract_x
_atom_site_fract_y
_atom_site_fract_z
Ba1 Ba 0.7500 0.1911 0.7195
Ba2 Ba 0.2500 0.6911 0.7805
Ba3 Ba 0.2500 0.8089 0.2805
Ba4 Ba 0.7500 0.3089 0.2195
Al1 Al 0.7500 0.0111 0.4465
Al2 Al 0.2500 0.5111 0.0535
Al3 Al 0.2500 0.9889 0.5535
Al4 Al 0.7500 0.4889 0.9465
Na1 Na 0.7500 0.6563 0.5220
Na2 Na 0.2500 0.1563 0.9780
Na3 Na 0.2500 0.3437 0.4780
Na4 Na 0.7500 0.8437 0.0220
```

Summary:
mass density: 2.7 g cm⁻³
total magnetization: 0.00 μB/cell



In terms of stability, (a) leads; the second structure lies 9.9 kJ/mol of atoms higher.



(a)
The following is a PBE calculation of a relaxed Ba2Na2Al crystal, from the Alexandria database.

Structure (CIF):
```
data_Ba2Na2Al
_cell_length_a 4.3545
_cell_length_b 4.3545
_cell_length_c 11.5487
_cell_angle_alpha 79.13
_cell_angle_beta 79.13
_cell_angle_gamma 90.00
_space_group_name_H-M_alt 'P 1'
_space_group_IT_number 1
loop_
_space_group_symop_operation_xyz
'x,y,z'
loop_
_atom_site_label
_atom_site_type_symbol
_atom_site_fract_x
_atom_site_fract_y
_atom_site_fract_z
Na1 Na 0.7500 0.2500 0.5000
Na2 Na 0.2500 0.7500 0.5000
Ba1 Ba 0.4133 0.4133 0.1735
Ba2 Ba 0.5867 0.5867 0.8265
Al1 Al 0.0000 0.0000 0.0000
```

Summary:
mass density: 2.7 g cm⁻³
total magnetization: 0.00 μB/cell



(b)
The following is a PBE calculation of a relaxed Ba2Na2Al crystal, from the Alexandria database.

Structure (CIF):
```
data_Ba2Na2Al
_cell_length_a 8.2496
_cell_length_b 8.2496
_cell_length_c 5.7829
_cell_angle_alpha 90.00
_cell_angle_beta 90.00
_cell_angle_gamma 90.00
_space_group_name_H-M_alt 'P 1'
_space_group_IT_number 1
loop_
_space_group_symop_operation_xyz
'x,y,z'
loop_
_atom_site_label
_atom_site_type_symbol
_atom_site_fract_x
_atom_site_fract_y
_atom_site_fract_z
Na1 Na 0.3660 0.8660 0.0000
Na2 Na 0.8660 0.6340 0.0000
Na3 Na 0.6340 0.1340 0.0000
Na4 Na 0.1340 0.3660 0.0000
Ba1 Ba 0.1949 0.6949 0.5000
Ba2 Ba 0.6949 0.8051 0.5000
Ba3 Ba 0.8051 0.3051 0.5000
Ba4 Ba 0.3051 0.1949 0.5000
Al1 Al 0.0000 0.0000 0.0000
Al2 Al 0.5000 0.5000 0.0000
```

Summary:
mass density: 2.9 g cm⁻³
total magnetization: 0.00 μB/cell



In terms of stability, (a) leads; the second structure lies 9.0 kJ/mol of atoms higher.